A relaxed NaTaGeO5 crystal, computed with GGA-PBEsol.

abc: 5.635 5.635 7.436
angles: 104.98 104.98 104.76
Fractional coordinates of all 16 atoms:
Na 0.174 0.826 0.750
Na 0.826 0.174 0.250
Ta 0.500 0.500 0.000
Ta 0.500 0.500 0.500
Ge 0.183 0.817 0.250
Ge 0.817 0.183 0.750
O 0.136 0.256 0.910
O 0.197 0.610 0.390
O 0.256 0.136 0.410
O 0.390 0.803 0.110
O 0.435 0.565 0.750
O 0.565 0.435 0.250
O 0.610 0.197 0.890
O 0.744 0.864 0.590
O 0.803 0.390 0.610
O 0.864 0.744 0.090

Values from the calculation:
The uncorrected formation energy comes out at -2.305 eV per atom. The calculated volume is 12.9 A^3/atom. Its space group is C2/c, No. 15. Its calculated density is 5.73 g cm⁻³.